1.
H2OsCCl (PBE, relaxed); E = -4.686 eV per atom; space group = P4/mmm
1.0
3.711 0.000 0.000
0.000 3.711 0.000
0.000 0.000 3.992
H Os C Cl
2 1 1 1
Direct
0.000 0.500 0.000
0.500 0.000 0.000
0.000 0.000 0.000
0.000 0.000 0.500
0.500 0.500 0.500

2.
SiP4H28C10Cl4 (PBE, relaxed); E = -4.998 eV per atom; space group = P-1
1.0
7.107 0.000 0.000
0.093 9.030 0.000
0.796 0.551 9.279
Si P H C Cl
1 4 28 10 4
Direct
0.000 0.000 0.000
0.175 0.122 0.797
0.389 0.411 0.678
0.611 0.589 0.322
0.825 0.878 0.203
0.032 0.935 0.383
0.075 0.494 0.616
0.088 0.759 0.314
0.115 0.221 0.559
0.152 0.601 0.755
0.179 0.358 0.905
0.250 0.632 0.572
0.309 0.906 0.687
0.336 0.546 0.188
0.386 0.391 0.307
0.398 0.262 0.906
0.431 0.074 0.620
0.473 0.988 0.793
0.476 0.580 0.862
0.524 0.420 0.138
0.527 0.012 0.207
0.569 0.926 0.380
0.602 0.738 0.094
0.614 0.609 0.693
0.664 0.454 0.812
0.691 0.094 0.313
0.750 0.368 0.428
0.821 0.642 0.095
0.848 0.399 0.245
0.885 0.779 0.441
0.912 0.241 0.686
0.925 0.506 0.384
0.968 0.065 0.617
0.028 0.168 0.650
0.197 0.547 0.655
0.284 0.295 0.838
0.366 0.012 0.716
0.450 0.476 0.229
0.550 0.524 0.771
0.634 0.988 0.284
0.716 0.705 0.162
0.803 0.453 0.345
0.972 0.832 0.350
0.144 0.131 0.154
0.217 0.819 0.018
0.783 0.181 0.982
0.856 0.869 0.846

3.
SnPH6CCl3 (PBE, relaxed); offset from the most stable computed form = 0.000 eV/f.u.; E = -4.169 eV per atom; space group = P1
1.0
5.998 0.000 0.000
-0.027 6.006 0.000
-0.940 -0.005 5.991
Sn P H C Cl
1 1 6 1 3
Direct
0.000 0.000 0.000
0.610 0.491 0.391
0.245 0.507 0.492
0.437 0.358 0.696
0.446 0.658 0.687
0.570 0.298 0.257
0.585 0.678 0.248
0.833 0.486 0.501
0.416 0.505 0.587
0.435 0.997 0.995
0.909 0.994 0.576
0.992 0.431 0.029